Here is a relaxed LaVSb2 crystal from Alexandria. Energies are from PBE-GGA.

Geometry as extended XYZ:
```
4
Lattice="0.000 3.713 3.713 3.713 0.000 3.713 3.713 3.713 0.000" Properties=species:S:1:pos:R:3 pbc="T T T"
La 3.713 3.713 3.713
V 0.000 0.000 0.000
Sb 5.569 5.569 5.569
Sb 1.856 1.856 1.856
```

For the density of states at the Fermi level, the calculation gives 2.90 states/eV/cell. The symmetry is Fm-3m, No. 225. The density is 7.0 g/cm3. For the volume, the calculation gives 102.37 Å³/f.u. The value obtained for the raw formation energy is -0.2831 eV per atom.


Here is a relaxed LaV2Sb2 crystal from Alexandria. Energies are from PBE-GGA.

Geometry as extended XYZ:
```
5
Lattice="-1.469 -4.903 -0.338 2.386 -1.020 4.424 -3.158 -2.027 4.209" Properties=species:S:1:pos:R:3 pbc="T T T"
V -0.340 -2.755 2.521
La 0.000 0.000 0.000
Sb -0.157 -3.004 5.338
Sb -2.084 -4.945 2.957
V -1.901 -5.194 5.774
```

For the density of states at the Fermi level, the calculation gives 4.68 states/eV/cell. The symmetry is I4/mmm, No. 139. The density is 7.1 g/cm3. For the volume, the calculation gives 113.60 Å³/f.u. The value obtained for the raw formation energy is -0.3208 eV per atom.


Repeat the first record exactly.
Here is a relaxed LaVSb2 crystal from Alexandria. Energies are from PBE-GGA.

Geometry as extended XYZ:
```
4
Lattice="0.000 3.713 3.713 3.713 0.000 3.713 3.713 3.713 0.000" Properties=species:S:1:pos:R:3 pbc="T T T"
La 3.713 3.713 3.713
V 0.000 0.000 0.000
Sb 5.569 5.569 5.569
Sb 1.856 1.856 1.856
```

For the density of states at the Fermi level, the calculation gives 2.90 states/eV/cell. The symmetry is Fm-3m, No. 225. The density is 7.0 g/cm3. For the volume, the calculation gives 102.37 Å³/f.u. The value obtained for the raw formation energy is -0.2831 eV per atom.